Density functional theory data (GGA+U) for a relaxed structure of LiW2O6.

Computed properties:
Relative energy among the computed polymorphs ... 0.9 kJ per mole of atoms
DOS at the Fermi energy ... 1.93 states/eV per cell
DFT total energy ... -0.2623 Ha/atom
Density ... 7158 kg/m³

The structure in POSCAR format:
```
LiW2O6
1.0
-4.3747 4.7288 -1.2919
-1.6309 -2.9746 5.6268
5.9938 2.6334 0.5557
O W Li
12 4 2
direct
0.7023 0.9020 0.1997
0.7023 0.5026 0.8003
0.2977 0.0980 0.8003
0.1974 0.7073 0.9047
0.8026 0.2927 0.0953
0.8026 0.7073 0.5098
0.4973 0.7883 0.7090
0.5027 0.2117 0.2910
0.1974 0.2927 0.4902
0.2977 0.4974 0.1997
0.0794 0.7883 0.2910
0.9206 0.2117 0.7090
0.0000 0.0000 0.5000
0.0000 0.5000 0.0000
0.5000 0.5000 0.5000
0.5000 0.0000 0.0000
0.5000 0.5000 0.0000
0.0000 0.5000 0.5000
```